A plane-wave DFT calculation with PBE-GGA was carried out for a relaxed structure of Pm15Ho4Er.

The structure in extended XYZ format:
```
20
Lattice="5.1201 0.0000 0.0000 0.0000 5.1201 0.0000 0.0000 0.0000 25.5065" Properties=species:S:1:pos:R:3 pbc="T T T"
Pm 2.5601 2.5601 0.0000
Pm 2.5601 2.5601 5.1014
Pm 2.5601 2.5601 10.2042
Pm 2.5601 2.5601 15.3023
Pm 2.5601 2.5601 20.4051
Pm 2.5601 0.0000 2.5474
Pm 2.5601 0.0000 7.6541
Pm 2.5601 0.0000 12.7533
Pm 2.5601 0.0000 17.8524
Pm 2.5601 0.0000 22.9591
Pm 0.0000 2.5601 2.5474
Pm 0.0000 2.5601 7.6541
Pm 0.0000 2.5601 12.7533
Pm 0.0000 2.5601 17.8524
Pm 0.0000 2.5601 22.9591
Ho 0.0000 0.0000 5.1015
Ho 0.0000 0.0000 10.2040
Ho 0.0000 0.0000 15.3025
Ho 0.0000 0.0000 20.4050
Er 0.0000 0.0000 0.0000
```

Values from the calculation:
ΔE_f = 1.3 kJ per mole of atoms
Raw total energy = -0.3450 Ry per atom

***

A plane-wave DFT calculation with PBE-GGA was carried out for a relaxed structure of CeHo2Sn.

The structure in extended XYZ format:
```
4
Lattice="4.6334 0.0000 0.0000 0.0000 4.8611 0.0000 0.0000 0.0000 4.8611" Properties=species:S:1:pos:R:3 pbc="T T T"
Ho 0.0000 0.0000 2.4306
Ho 0.0000 2.4306 0.0000
Ce 2.3167 2.4306 2.4306
Sn 2.3167 0.0000 0.0000
```

Values from the calculation:
ΔE_f = -37.5 kJ per mole of atoms
Raw total energy = -0.3794 Ry per atom
Offset from the most stable computed form = 0.0 meV per atom

***

A plane-wave DFT calculation with PBE-GGA was carried out for a relaxed structure of Li2CoIr.

The structure in extended XYZ format:
```
4
Lattice="2.5213 0.0000 0.0000 0.0000 4.2048 0.0000 0.0000 0.0000 4.9439" Properties=species:S:1:pos:R:3 pbc="T T T"
Co 1.2607 2.1024 1.2360
Ir 1.2607 2.1024 3.7079
Li 0.0000 0.0000 4.9210
Li 0.0000 0.0000 2.4948
```

Values from the calculation:
ΔE_f = 7.9 kJ per mole of atoms
Raw total energy = -0.3577 Ry per atom
Offset from the most stable computed form = 147.2 meV per atom

***

A plane-wave DFT calculation with PBE-GGA was carried out for a relaxed structure of TmHfTi2O8.

The structure in extended XYZ format:
```
12
Lattice="-4.5003 -0.4351 3.7782 2.1742 -5.2079 -1.6934 4.3280 2.9136 2.7380" Properties=species:S:1:pos:R:3 pbc="T T T"
Tm 0.0000 0.0000 0.0000
Hf 2.6695 -2.5579 1.0435
Ti -0.6677 -0.1715 3.7793
Ti -1.1631 -2.8215 1.0424
O -0.1773 0.4790 2.1555
O 0.5653 -2.2768 0.8809
O 2.2676 1.5633 3.1971
O -0.2415 1.4017 4.5815
O -1.6134 -3.3291 2.7305
O -2.3364 -0.8563 3.9956
O 0.0844 -1.7104 4.3845
O 2.7842 -1.4163 2.8372
```

Values from the calculation:
Formation energy (no corrections) = -36.305 eV per formula unit
Raw total energy = -0.6504 Ry per atom

***

A plane-wave DFT calculation with PBE-GGA was carried out for a relaxed structure of Sm5In2Ag2.

The structure in extended XYZ format:
```
18
Lattice="9.2361 -0.0022 0.0016 -0.0015 6.4172 0.0021 -4.6158 -3.2046 8.7591" Properties=species:S:1:pos:R:3 pbc="T T T"
Sm -2.0194 1.4125 7.3367
Sm 6.6366 4.6141 1.4197
Sm -2.5950 -1.7970 7.3410
Sm 7.2144 1.4065 1.4266
Sm 1.1969 0.0137 2.6352
Sm 3.4227 3.2253 6.1279
Sm 3.4187 3.2208 2.6363
Sm 1.1999 0.0178 6.1271
Sm -0.0601 3.2578 4.3820
Sm 4.6800 0.0465 4.3804
In 0.6663 3.2101 1.2693
In 3.9533 0.0008 7.4927
In 3.9499 -0.0006 1.2692
In 0.6685 3.2101 7.4939
Ag 4.6185 2.5832 8.7624
Ag 0.0009 -0.6254 8.7607
Ag -1.4359 -0.1078 4.3825
Ag 6.0551 3.1033 4.3813
```

Values from the calculation:
ΔE_f = -20.5 kJ per mole of atoms
Raw total energy = -0.2996 Ry per atom

***

A plane-wave DFT calculation with PBE-GGA was carried out for a relaxed structure of CsErCd2Cl8.

The structure in extended XYZ format:
```
12
Lattice="-2.7920 5.4965 -2.5276 -3.1340 -2.0045 -5.6058 -9.1955 -0.7919 2.3130" Properties=species:S:1:pos:R:3 pbc="T T T"
Cs -4.5978 -0.3959 1.1565
Er 0.0000 0.0000 0.0000
Cd -9.3054 1.0125 -1.9551
Cd -5.8162 1.6877 -3.8653
Cl -4.7336 -0.6723 -3.9608
Cl -4.7056 2.4927 -6.0522
Cl -4.5207 3.5045 -2.4982
Cl -10.3879 3.3725 -1.8596
Cl -10.4160 0.2074 0.2318
Cl -10.6008 -0.8044 -3.3222
Cl -8.2984 1.6839 -4.3976
Cl -6.8232 1.0163 -1.4228
```

Values from the calculation:
Formation energy (no corrections) = -19.322 eV per formula unit
Raw total energy = -0.2532 Ry per atom

***

A plane-wave DFT calculation with PBE-GGA was carried out for a relaxed structure of LiCaBIr2.

The structure in extended XYZ format:
```
5
Lattice="-1.6582 2.6652 -2.8448 -3.4458 0.4600 2.4395 1.8391 3.2606 1.9829" Properties=species:S:1:pos:R:3 pbc="T T T"
Ca -1.7229 0.2300 1.2198
Ir 0.9195 1.6303 0.9914
Ir -0.8291 1.3326 -1.4224
B -1.6325 3.1929 0.7888
Li 0.0000 0.0000 0.0000
```

Values from the calculation:
ΔE_f = 120.3 kJ per mole of atoms
Raw total energy = -0.3246 Ry per atom
Offset from the most stable computed form = 1681.2 meV per atom

***

A plane-wave DFT calculation with PBE-GGA was carried out for a relaxed structure of NbTcTe2Pd.

The structure in extended XYZ format:
```
5
Lattice="5.2141 0.0000 0.0000 0.0000 4.9276 0.0000 0.0000 0.0000 5.2141" Properties=species:S:1:pos:R:3 pbc="T T T"
Nb 0.0000 2.4638 0.0000
Te 0.0000 0.0000 2.6071
Te 2.6071 0.0000 0.0000
Tc 2.6071 2.4638 2.6071
Pd 0.0000 0.0000 0.0000
```

Values from the calculation:
Formation energy (no corrections) = 6.412 eV per formula unit
Raw total energy = -0.3748 Ry per atom

***

A plane-wave DFT calculation with PBE-GGA was carried out for a relaxed structure of NdScCd.

The structure in extended XYZ format:
```
3
Lattice="3.6517 0.0000 0.0000 0.0000 5.1293 0.0000 0.0000 -2.5646 4.4421" Properties=species:S:1:pos:R:3 pbc="T T T"
Sc 0.6116 0.0000 0.0000
Nd 2.4354 2.5646 1.4807
Cd 0.6048 0.0000 2.9614
```

Values from the calculation:
ΔE_f = -7.9 kJ per mole of atoms
Raw total energy = -0.3004 Ry per atom
Offset from the most stable computed form = 89.3 meV per atom

***

A plane-wave DFT calculation with PBE-GGA was carried out for a relaxed structure of NdEr2Th6.

The structure in extended XYZ format:
```
9
Lattice="-6.9001 5.4625 2.7280 -4.6703 -4.9367 -1.9279 -1.7476 3.9842 6.9729" Properties=species:S:1:pos:R:3 pbc="T T T"
Nd 0.0000 0.0000 0.0000
Er -4.3856 2.4597 4.3257
Er -8.9325 2.0504 3.4472
Th -7.7568 6.9317 7.7963
Th -7.0976 4.4948 5.6845
Th -10.1946 4.3549 6.7900
Th -5.5613 -2.4216 -0.0233
Th -6.2205 0.0153 2.0885
Th -3.1235 0.1552 0.9830
```

Values from the calculation:
ΔE_f = 29.6 kJ per mole of atoms
Raw total energy = -0.4545 Ry per atom

***

A plane-wave DFT calculation with PBE-GGA was carried out for a relaxed structure of Ce2MgZr.

The structure in extended XYZ format:
```
4
Lattice="-2.3901 -1.8698 0.9625 0.3478 -1.8234 2.5864 -4.7637 7.4045 7.8200" Properties=species:S:1:pos:R:3 pbc="T T T"
Ce -3.7726 5.3083 6.2089
Ce -1.6712 0.8638 2.7930
Mg -3.4006 1.8506 5.6805
Zr -1.3646 -2.4556 2.3709
```

Values from the calculation:
ΔE_f = 7.6 kJ per mole of atoms
Raw total energy = -0.3987 Ry per atom
Offset from the most stable computed form = 23.1 meV per atom

***

A plane-wave DFT calculation with PBE-GGA was carried out for a relaxed structure of Mg2Ga2Ag.

The structure in extended XYZ format:
```
10
Lattice="4.4589 0.0000 0.0000 2.2295 4.9399 -0.5369 2.2295 -0.6056 8.8762" Properties=species:S:1:pos:R:3 pbc="T T T"
Mg 4.4590 1.1512 2.8952
Mg 6.6884 0.7058 8.0231
Mg 4.4589 3.1831 5.4441
Mg 2.2295 3.6285 0.3162
Ga 2.2295 1.3363 5.1617
Ga 6.6884 3.4313 7.3494
Ga 6.6884 2.9980 3.1776
Ga 2.2295 0.9030 0.9899
Ag 4.4589 0.1494 5.8013
Ag 4.4590 4.1849 2.5380
```

Values from the calculation:
ΔE_f = -13.1 kJ per mole of atoms
Raw total energy = -0.1877 Ry per atom
Offset from the most stable computed form = 0.9 meV per atom

***

A plane-wave DFT calculation with PBE-GGA was carried out for a relaxed structure of KCeSbO5.

The structure in extended XYZ format:
```
16
Lattice="6.4373 0.0391 -0.0216 -1.8417 6.1683 -0.0216 -1.9336 -2.6118 7.4511" Properties=species:S:1:pos:R:3 pbc="T T T"
K 0.3705 3.5197 1.8412
K 2.2914 0.0759 5.5668
Ce -0.9668 -1.3059 3.7256
Ce 0.0000 0.0000 0.0000
Sb 3.3252 1.3322 1.8412
Sb -0.6633 2.2633 5.5668
O -1.8240 5.1444 1.8412
O 4.4859 -1.5488 5.5668
O 4.9066 1.6294 0.8114
O -2.2447 1.9662 6.5966
O 3.5026 -0.2671 2.8711
O -0.8407 3.8626 4.5369
O 2.9494 2.7801 3.0215
O -0.2875 0.8155 4.3865
O 1.8307 1.2690 0.6609
O 0.8312 2.3266 6.7470
```

Values from the calculation:
Formation energy (no corrections) = -17.491 eV per formula unit
Raw total energy = -0.4909 Ry per atom

***

A plane-wave DFT calculation with PBE-GGA was carried out for a relaxed structure of Hf6Fe2Cu.

The structure in extended XYZ format:
```
18
Lattice="-4.1636 -3.3091 5.4308 -1.8252 -2.6733 -6.8776 7.4140 -1.4583 0.8274" Properties=species:S:1:pos:R:3 pbc="T T T"
Hf 2.4559 -4.9079 -1.3970
Hf -1.0306 -2.5328 0.7776
Hf 5.1640 -2.2027 -0.7428
Hf -3.7387 -5.2380 0.1234
Hf -0.5635 -5.5107 -0.3678
Hf 1.9887 -1.9300 -0.2516
Hf 4.8643 -4.0558 -3.3646
Hf -3.4391 -3.3849 2.7452
Hf 1.4808 -4.2569 1.7772
Hf -0.0555 -3.1838 -2.3966
Hf 1.9338 -4.6544 -4.5500
Hf -0.5085 -2.7863 3.9306
Fe 3.7762 -3.9739 0.8005
Fe -2.3510 -3.4668 -1.4199
Fe 2.1709 -3.1840 4.1797
Fe 1.0796 -1.5834 2.0785
Cu 2.7944 -2.0658 -3.0251
Cu 0.0000 0.0000 0.0000
```

Values from the calculation:
ΔE_f = -13.4 kJ per mole of atoms
Raw total energy = -0.6696 Ry per atom

***

A plane-wave DFT calculation with PBE-GGA was carried out for a relaxed structure of ZnGaBiPb.

The structure in extended XYZ format:
```
4
Lattice="-1.4317 0.5814 4.9943 -1.8966 -4.0768 2.6671 2.8421 -2.1848 3.8053" Properties=species:S:1:pos:R:3 pbc="T T T"
Pb -0.2431 -2.8401 5.7334
Zn -0.3647 -4.2602 8.6000
Bi 0.0000 0.0000 0.0000
Ga -0.1216 -1.4201 2.8667
```

Values from the calculation:
ΔE_f = 15.3 kJ per mole of atoms
Raw total energy = -0.2068 Ry per atom

***

A plane-wave DFT calculation with PBE-GGA was carried out for a relaxed structure of Ac2HgBr.

The structure in extended XYZ format:
```
4
Lattice="-2.7716 -2.7188 -0.0628 2.5824 -2.6031 -1.2775 1.9204 -2.1484 8.2596" Properties=species:S:1:pos:R:3 pbc="T T T"
Ac 1.4707 -1.6453 6.3256
Ac 0.4497 -0.5030 1.9340
Hg -0.0946 -2.6609 -0.6701
Br 0.8656 -3.7351 3.4596
```

Values from the calculation:
Formation energy (no corrections) = -3.037 eV per formula unit
Raw total energy = -0.2431 Ry per atom
Offset from the most stable computed form = 44.7 meV per atom

***

A plane-wave DFT calculation with PBE-GGA was carried out for a relaxed structure of Ca2ReRh.

The structure in extended XYZ format:
```
4
Lattice="0.0000 3.4823 3.4823 3.4823 0.0000 3.4823 3.4823 3.4823 0.0000" Properties=species:S:1:pos:R:3 pbc="T T T"
Re 3.4823 3.4823 3.4823
Ca 1.7411 1.7411 1.7411
Ca 5.2234 5.2234 5.2234
Rh 0.0000 0.0000 0.0000
```

Values from the calculation:
ΔE_f = 66.7 kJ per mole of atoms
Raw total energy = -0.3866 Ry per atom

***

A plane-wave DFT calculation with PBE-GGA was carried out for a relaxed structure of Tm5CdNi2.

The structure in extended XYZ format:
```
16
Lattice="6.8640 0.0000 -3.2402 -1.5295 6.6915 -3.2402 -0.2010 -0.2521 8.4647" Properties=species:S:1:pos:R:3 pbc="T T T"
Tm 2.3840 4.5377 2.2027
Tm 3.9084 6.4498 -3.4586
Tm 0.0000 0.0000 0.0000
Tm 2.6672 3.3457 -3.2402
Tm 1.2251 -0.0105 5.4429
Tm 4.3823 1.1920 3.2406
Tm -0.7731 3.3353 4.4051
Tm 0.7512 5.2473 -1.2563
Tm 5.9066 3.1040 -2.4208
Tm 2.7494 1.9016 -0.2184
Cd 3.9004 4.8925 -0.6279
Cd 1.2331 1.5468 2.6122
Ni 0.3182 2.4824 -1.6201
Ni 4.1203 0.8633 -2.4562
Ni 1.2142 5.8281 -4.0242
Ni 5.0163 4.2090 -4.8603
```

Values from the calculation:
ΔE_f = -32.2 kJ per mole of atoms
Raw total energy = -0.3445 Ry per atom

***

A plane-wave DFT calculation with PBE-GGA was carried out for a relaxed structure of Ba8HPt3Cl4.

The structure in extended XYZ format:
```
16
Lattice="8.9380 0.0000 0.0000 0.0000 9.5708 0.4302 -4.4690 -4.4609 6.3247" Properties=species:S:1:pos:R:3 pbc="T T T"
Ba -2.2361 2.5126 6.5068
Ba 0.0000 4.7440 3.3445
Ba 0.0000 0.3341 3.3890
Ba 2.2361 2.5126 6.5068
Ba 2.2329 2.5973 0.2482
Ba 4.4690 4.7758 3.3659
Ba 4.4690 0.3659 3.4104
Ba 6.7051 2.5973 0.2482
H 0.0000 4.7854 0.2151
Pt 4.4690 4.7854 0.2151
Pt 2.2345 2.5550 3.3775
Pt -2.2345 2.5550 3.3775
Cl 4.4690 0.0000 0.0000
Cl 2.2345 -2.2304 3.1624
Cl 0.0000 0.0000 0.0000
Cl -2.2345 -2.2304 3.1624
```

Values from the calculation:
Raw total energy = -0.2985 Ry per atom

***

A plane-wave DFT calculation with PBE-GGA was carried out for a relaxed structure of Al2CdMoAu.

The structure in extended XYZ format:
```
5
Lattice="-2.8377 3.1720 -2.2057 -0.5748 -3.3571 -4.0882 -3.8287 -1.9419 2.1329" Properties=species:S:1:pos:R:3 pbc="T T T"
Mo -0.2874 -1.6785 -2.0441
Au -3.6206 -1.0635 -2.0805
Al -1.9143 -0.9710 1.0665
Al -1.4188 1.5860 -1.1029
Cd 0.0000 0.0000 0.0000
```

Values from the calculation:
ΔE_f = 129.6 kJ per mole of atoms
Raw total energy = -0.2321 Ry per atom

***

A plane-wave DFT calculation with PBE-GGA was carried out for a relaxed structure of MnVGaMo.

The structure in extended XYZ format:
```
4
Lattice="-1.9061 2.6067 -2.8061 -3.8645 1.6176 0.8665 -0.4254 4.1619 0.8940" Properties=species:S:1:pos:R:3 pbc="T T T"
Mo -1.5490 2.0965 -0.2614
Mn -3.0980 4.1931 -0.5228
Ga -4.6470 6.2896 -0.7842
V 0.0000 0.0000 0.0000
```

Values from the calculation:
ΔE_f = -6.1 kJ per mole of atoms
Raw total energy = -0.5953 Ry per atom

***

A plane-wave DFT calculation with PBE-GGA was carried out for a relaxed structure of YSb2Ru.

The structure in extended XYZ format:
```
4
Lattice="-3.4387 2.7016 -0.5139 -0.9026 -0.4607 3.6182 3.0744 4.3043 2.0559" Properties=species:S:1:pos:R:3 pbc="T T T"
Ru -0.0905 4.2335 3.9986
Sb 2.2292 3.8371 5.2557
Sb 1.0284 1.9282 3.2554
Y -1.1764 2.3117 1.1616
```

Values from the calculation:
Formation energy (no corrections) = -1.257 eV per formula unit
Raw total energy = -0.4638 Ry per atom

***

A plane-wave DFT calculation with PBE-GGA was carried out for a relaxed structure of BaNi2Pd2.

The structure in extended XYZ format:
```
5
Lattice="4.3697 0.0000 0.0000 0.0000 4.3697 0.0000 2.1849 2.1849 5.2261" Properties=species:S:1:pos:R:3 pbc="T T T"
Ni 4.3697 2.1849 2.6131
Ni 2.1849 4.3697 2.6131
Ba 0.0000 0.0000 0.0000
Pd 2.1849 2.1849 1.3567
Pd 4.3697 4.3697 3.8694
```

Values from the calculation:
ΔE_f = 2.2 kJ per mole of atoms
Raw total energy = -0.3492 Ry per atom
Offset from the most stable computed form = 44.0 meV per atom

***

A plane-wave DFT calculation with PBE-GGA was carried out for a relaxed structure of TbPr3Pb2S.

The structure in extended XYZ format:
```
7
Lattice="-3.6371 0.6016 -3.5822 -3.3249 -2.9604 2.8786 0.7404 8.0921 4.2953" Properties=species:S:1:pos:R:3 pbc="T T T"
Tb -1.8185 0.3008 -1.7911
Pr -1.6625 -1.4802 1.4393
Pr -0.9267 2.3374 1.3334
Pr -5.2949 3.3959 2.2583
Pb -4.2252 0.6979 0.7191
Pb -1.9964 5.0354 2.8726
S 0.0000 0.0000 0.0000
```

Values from the calculation:
Formation energy (no corrections) = -5.720 eV per formula unit
Raw total energy = -0.3804 Ry per atom